Computed, not measured: an optimized crystal structure of NbCu2S4 at the GGA-PBE level of DFT.

Geometry as CIF:
```
data_NbCu2S4
_symmetry_space_group_name_H-M 'C 1 2/m 1'
_symmetry_Int_Tables_number 12
_symmetry_space_group_name_Hall '-C 2y'
_cell_length_a 12.242
_cell_length_b 3.554
_cell_length_c 6.173
_cell_angle_alpha 90.00
_cell_angle_beta 115.17
_cell_angle_gamma 90.00
loop_
_atom_site_label
_atom_site_fract_x
_atom_site_fract_y
_atom_site_fract_z
Nb1 0.000 0.000 0.000
Cu1 0.220 0.500 0.682
S1 0.120 0.000 0.435
S2 0.129 0.500 0.949
```

Values from the calculation:
The calculation puts the energy relative to the elements, uncorrected at -0.446 eV per atom. Its total energy is -5.414 eV per atom. The calculation puts the polymorph energy (0 for the lowest one) at 0 meV per atom. The spin magnetization is 0.000 μB per atom.